Computed, not measured: crystalline KCuGeN2 at its relaxed geometry at the GGA-PBE level of DFT.

Raw formation energy, meV per atom: 1514
VASP energy, eV per atom: -3.778

CIF file:
```
data_KCuGeN2
_cell_length_a 3.8435
_cell_length_b 3.8435
_cell_length_c 6.7726
_cell_angle_alpha 90.00
_cell_angle_beta 90.00
_cell_angle_gamma 90.00
_space_group_name_H-M_alt 'P 4/m m m'
_space_group_IT_number 123
_space_group_name_Hall '-P 4 2'
loop_
_atom_site_label
_atom_site_fract_x
_atom_site_fract_y
_atom_site_fract_z
_atom_site_occupancy
K1 0.0000 0.0000 0.0000 1
Cu1 0.5000 0.5000 0.0000 1
Ge1 0.0000 0.0000 0.5000 1
N1 0.0000 0.5000 0.5000 1
```

Computed, not measured: crystalline Pu4Ag2C at its relaxed geometry at the GGA-PBE level of DFT.

VASP energy, eV per atom: -10.132
ΔH_f (0 K), eV per atom: 0.19

CIF file:
```
data_Pu4Ag2C
_cell_length_a 4.7929
_cell_length_b 4.7929
_cell_length_c 15.3684
_cell_angle_alpha 90.00
_cell_angle_beta 90.00
_cell_angle_gamma 90.00
_space_group_name_H-M_alt 'I 4/m m m'
_space_group_IT_number 139
_space_group_name_Hall '-I 4 2'
loop_
_atom_site_label
_atom_site_fract_x
_atom_site_fract_y
_atom_site_fract_z
_atom_site_occupancy
Pu1 0.0000 0.0000 0.1622 1
Pu2 0.0000 0.5000 0.0000 1
Ag1 0.0000 0.0000 0.3613 1
C1 0.0000 0.0000 0.0000 1
```

Computed, not measured: crystalline PmDy2Zn5 at its relaxed geometry at the GGA-PBE level of DFT.

VASP energy, eV per atom: -2.852
ΔH_f (0 K), eV per atom: -0.31

CIF file:
```
data_PmDy2Zn5
_cell_length_a 4.8694
_cell_length_b 4.8694
_cell_length_c 14.1768
_cell_angle_alpha 90.00
_cell_angle_beta 90.00
_cell_angle_gamma 90.00
_space_group_name_H-M_alt 'I 4/m m m'
_space_group_IT_number 139
_space_group_name_Hall '-I 4 2'
loop_
_atom_site_label
_atom_site_fract_x
_atom_site_fract_y
_atom_site_fract_z
_atom_site_occupancy
Pm1 0.0000 0.0000 0.0000 1
Dy1 0.0000 0.0000 0.2683 1
Zn1 0.0000 0.0000 0.5000 1
Zn2 0.0000 0.5000 0.1183 1
```

Computed, not measured: crystalline Ba2CeThAs4 at its relaxed geometry at the GGA-PBE level of DFT.

VASP energy, eV per atom: -5.762
ΔH_f (0 K), eV per atom: -1.29

CIF file:
```
data_Ba2CeThAs4
_cell_length_a 7.6684
_cell_length_b 4.4270
_cell_length_c 7.9321
_cell_angle_alpha 90.00
_cell_angle_beta 108.81
_cell_angle_gamma 90.00
_space_group_name_H-M_alt 'P 1 2/m 1'
_space_group_IT_number 10
loop_
_space_group_symop_operation_xyz
'x,y,z'
'-x,-y,-z'
'-x,y,-z'
'x,-y,z'
loop_
_atom_site_label
_atom_site_fract_x
_atom_site_fract_y
_atom_site_fract_z
_atom_site_occupancy
Ba1 0.0000 0.0000 0.0000 1
Ba2 0.5000 0.5000 0.0000 1
Ce1 0.0000 0.5000 0.5000 1
Th1 0.5000 0.0000 0.5000 1
As1 0.2330 0.0000 0.7070 1
As2 0.2608 0.5000 0.2898 1
```

Computed, not measured: crystalline Ba2LiTmCu3O7 at its relaxed geometry at the GGA-PBE level of DFT.

Raw formation energy, meV per atom: -1762
VASP energy, eV per atom: -5.850

CIF file:
```
data_Ba2LiTmCu3O7
_cell_length_a 3.7107
_cell_length_b 4.0205
_cell_length_c 14.4712
_cell_angle_alpha 90.00
_cell_angle_beta 90.00
_cell_angle_gamma 90.00
_space_group_name_H-M_alt 'P m m 2'
_space_group_IT_number 25
loop_
_space_group_symop_operation_xyz
'x,y,z'
'-x,-y,z'
'-x,y,z'
'x,-y,z'
loop_
_atom_site_label
_atom_site_fract_x
_atom_site_fract_y
_atom_site_fract_z
_atom_site_occupancy
Ba1 0.0000 0.0000 0.0000 1
Ba2 0.0000 0.0000 0.2827 1
Li1 0.0000 0.0000 0.7243 1
Tm1 0.0000 0.0000 0.5386 1
Cu1 0.5000 0.5000 0.1379 1
Cu2 0.5000 0.5000 0.4324 1
Cu3 0.5000 0.5000 0.6716 1
O1 0.0000 0.5000 0.4741 1
O2 0.0000 0.5000 0.6972 1
O3 0.5000 0.0000 0.1361 1
O4 0.5000 0.0000 0.4463 1
O5 0.5000 0.0000 0.6477 1
O6 0.5000 0.5000 0.0052 1
O7 0.5000 0.5000 0.2699 1
```

Computed, not measured: crystalline HgSb2As at its relaxed geometry at the GGA-PBE level of DFT.

Raw formation energy, meV per atom: 118
VASP energy, eV per atom: -3.181

CIF file:
```
data_HgSb2As
_cell_length_a 3.1438
_cell_length_b 5.8217
_cell_length_c 6.0438
_cell_angle_alpha 90.00
_cell_angle_beta 99.63
_cell_angle_gamma 90.00
_space_group_name_H-M_alt 'P 1 m 1'
_space_group_IT_number 6
loop_
_space_group_symop_operation_xyz
'x,y,z'
'x,-y,z'
loop_
_atom_site_label
_atom_site_fract_x
_atom_site_fract_y
_atom_site_fract_z
_atom_site_occupancy
Hg1 0.0000 0.0000 0.0000 1
Sb1 0.0416 0.5000 0.9291 1
Sb2 0.9467 0.0000 0.4890 1
As1 0.9273 0.5000 0.4835 1
```

What did the fourth record say?
Computed, not measured: crystalline Ba2CeThAs4 at its relaxed geometry at the GGA-PBE level of DFT.

VASP energy, eV per atom: -5.762
ΔH_f (0 K), eV per atom: -1.29

CIF file:
```
data_Ba2CeThAs4
_cell_length_a 7.6684
_cell_length_b 4.4270
_cell_length_c 7.9321
_cell_angle_alpha 90.00
_cell_angle_beta 108.81
_cell_angle_gamma 90.00
_space_group_name_H-M_alt 'P 1 2/m 1'
_space_group_IT_number 10
loop_
_space_group_symop_operation_xyz
'x,y,z'
'-x,-y,-z'
'-x,y,-z'
'x,-y,z'
loop_
_atom_site_label
_atom_site_fract_x
_atom_site_fract_y
_atom_site_fract_z
_atom_site_occupancy
Ba1 0.0000 0.0000 0.0000 1
Ba2 0.5000 0.5000 0.0000 1
Ce1 0.0000 0.5000 0.5000 1
Th1 0.5000 0.0000 0.5000 1
As1 0.2330 0.0000 0.7070 1
As2 0.2608 0.5000 0.2898 1
```

- VASP energy of number 5 (Ba2LiTmCu3O7)?
  -5.850 eV per atom

- VASP energy of number 1 (KCuGeN2)?
  -3.778 eV per atom

- Among the records above, which one has the lowest VASP energy?
  Pu4Ag2C